Below is a relaxed TiBeC3 crystal, with properties calculated at the PBE level.

a = 3.509 Å, b = 3.509 Å, c = 3.509 Å
α = 90.00°, β = 90.00°, γ = 90.00°
Space group Pm-3m (No. 221)
One atom of each set of equivalent atoms:
1 Ti 0.000 0.000 0.000
2 Be 0.500 0.500 0.500
3 C 0.000 0.500 0.500

Calculated values
- Spin magnetization: 0.000 Bohr magnetons per cell
- E_tot: -31.314 eV/cell
- DFT formation energy: 1.596 eV/atom
- Relative energy among the computed polymorphs: 0.000 eV per atom

Below is a relaxed PmHo2TmN4 crystal, with properties calculated at the PBE level.

a = 6.030 Å, b = 3.482 Å, c = 6.031 Å
α = 90.00°, β = 109.43°, γ = 90.00°
Space group P2/m (No. 10)
One atom of each set of equivalent atoms:
1 Pm 0.000 0.000 0.000
2 Ho 0.500 0.000 0.500
3 Ho 0.500 0.500 0.000
4 Tm 0.000 0.500 0.500
5 N 0.251 0.000 0.745
6 N 0.256 0.500 0.258

Calculated values
- Spin magnetization: 0.000 Bohr magnetons per cell
- E_tot: -64.991 eV/cell
- Formation energy from raw total energies: -1.664 eV per atom

Below is a relaxed La3InCo crystal, with properties calculated at the PBE level.

a = 5.4653 Å, b = 5.4653 Å, c = 10.9034 Å
α = 90.00°, β = 90.00°, γ = 120.00°
Space group P6_3/mmc (No. 194)
One atom of each set of equivalent atoms:
1 La 0.0000 0.0000 0.2500
2 La 0.3333 0.6667 0.0643
3 In 0.3333 0.6667 0.7500
4 Co 0.0000 0.0000 0.0000

Calculated values
- Spin magnetization: 0.001 Bohr magnetons per cell
- E_tot: -51.091 eV/cell
- DFT formation energy: -0.184 eV/atom
- Relative energy among the computed polymorphs: 0.108 eV per atom

Below is a relaxed SrReSb2Te crystal, with properties calculated at the PBE level.

a = 5.067 Å, b = 5.067 Å, c = 6.278 Å
α = 90.00°, β = 90.00°, γ = 90.00°
Space group P4/mmm (No. 123)
One atom of each set of equivalent atoms:
1 Sr 0.000 0.000 0.000
2 Re 0.500 0.500 0.500
3 Sb 0.000 0.500 0.500
4 Te 0.500 0.500 0.000

Calculated values
- Spin magnetization: 0.000 Bohr magnetons per cell
- E_tot: -25.263 eV/cell
- Formation energy from raw total energies: 0.051 eV per atom
- Relative energy among the computed polymorphs: 0.000 eV per atom